Here is crystalline HoInIr4 at its relaxed geometry from the Alexandria database. Energies are from PBE.

Properties
Crystal system: cubic
Formation energy from the elements (eV per atom): -0.39
Total moment (μB/atom): 0.00
SG: F-43m (216)

Geometry as CIF:
```
data_HoInIr4
_symmetry_space_group_name_H-M 'P 1'
_symmetry_Int_Tables_number 1
_symmetry_space_group_name_Hall 'P 1'
_cell_length_a 5.3128
_cell_length_b 5.3128
_cell_length_c 5.3128
_cell_angle_alpha 60.00
_cell_angle_beta 60.00
_cell_angle_gamma 60.00
loop_
_atom_site_label
_atom_site_fract_x
_atom_site_fract_y
_atom_site_fract_z
_atom_site_occupancy
Ho1 0.0000 0.0000 0.0000 1
In1 0.2500 0.2500 0.2500 1
Ir1 0.1261 0.6246 0.6246 1
Ir2 0.6246 0.1261 0.6246 1
Ir3 0.6246 0.6246 0.1261 1
Ir4 0.6246 0.6246 0.6246 1
```

***

Here is crystalline HoIn2Ir at its relaxed geometry from the Alexandria database. Energies are from PBE.

Properties
Crystal system: orthorhombic
Formation energy from the elements (eV per atom): -0.52
Total moment (μB/atom): 0.00
SG: Pnma (62)

Geometry as CIF:
```
data_HoIn2Ir
_symmetry_space_group_name_H-M 'P 1'
_symmetry_Int_Tables_number 1
_symmetry_space_group_name_Hall 'P 1'
_cell_length_a 15.4098
_cell_length_b 8.3012
_cell_length_c 5.5508
_cell_angle_alpha 90.00
_cell_angle_beta 90.00
_cell_angle_gamma 90.00
loop_
_atom_site_label
_atom_site_fract_x
_atom_site_fract_y
_atom_site_fract_z
_atom_site_occupancy
Ho1 0.1033 0.2500 0.2420 1
Ho2 0.1387 0.7500 0.4590 1
Ho3 0.3613 0.2500 0.9590 1
Ho4 0.3967 0.7500 0.7420 1
Ho5 0.6033 0.2500 0.2580 1
Ho6 0.6387 0.7500 0.0410 1
Ho7 0.8613 0.2500 0.5410 1
Ho8 0.8967 0.7500 0.7580 1
In1 0.0371 0.0492 0.7461 1
In2 0.0371 0.4508 0.7461 1
In3 0.2149 0.5471 0.9766 1
In4 0.2149 0.9529 0.9766 1
In5 0.2851 0.0471 0.4766 1
In6 0.2851 0.4529 0.4766 1
In7 0.4629 0.5492 0.2461 1
In8 0.4629 0.9508 0.2461 1
In9 0.5371 0.0492 0.7539 1
In10 0.5371 0.4508 0.7539 1
In11 0.7149 0.5471 0.5234 1
In12 0.7149 0.9529 0.5234 1
In13 0.7851 0.0471 0.0234 1
In14 0.7851 0.4529 0.0234 1
In15 0.9629 0.5492 0.2539 1
In16 0.9629 0.9508 0.2539 1
Ir1 0.0704 0.7500 0.9679 1
Ir2 0.1834 0.2500 0.7591 1
Ir3 0.3166 0.7500 0.2591 1
Ir4 0.4296 0.2500 0.4679 1
Ir5 0.5704 0.7500 0.5321 1
Ir6 0.6834 0.2500 0.7409 1
Ir7 0.8166 0.7500 0.2409 1
Ir8 0.9296 0.2500 0.0321 1
```